The following is a GGA+U calculation of an optimized crystal structure of NiGeF4, from Alexandria.

## Properties
Its volume is 167.4 Å³/cell. The density of states at the Fermi level comes out at 0.00 states/eV/f.u. For the total magnetization, the calculation gives 0.33 μB/atom. The value obtained for the total energy is -26.8 eV/f.u. As for the space-group type: Pmn2_1.

Unit cell a=5.3125 b=5.6894 c=5.5377 alpha=90.00 beta=90.00 gamma=90.00
With the nearest neighbours (Å) after each atom.
Positions (direct):
Ni1 0.0792 0.9755 0.0000  6 F 1.94-2.13
Ni2 0.5792 0.0245 0.5000  6 F 1.94-2.13
Ge1 0.0215 0.5988 0.5000  4 F 2.03-2.20
F1 0.7089 0.3444 0.5000  1 Ni 1.95
Ge2 0.5215 0.4012 0.0000  4 F 2.03-2.20
F2 0.3462 0.1493 0.7741  2 Ni 2.08-2.13, 1 Ge 2.12
F3 0.3462 0.1493 0.2259  2 Ni 2.08-2.13, 1 Ge 2.12
F4 0.8462 0.8507 0.7259  2 Ni 2.08-2.13, 1 Ge 2.12
F5 0.3700 0.7449 0.5000  1 Ni 1.94, 1 Ge 2.03
F6 0.2089 0.6556 0.0000  1 Ni 1.95
F7 0.8462 0.8507 0.2741  2 Ni 2.08-2.13, 1 Ge 2.12
F8 0.8700 0.2551 0.0000  1 Ni 1.94, 1 Ge 2.03